Record 1
# Nb4H2O GGA-PBE optimized geometry
# E	-7.83	eV/atom
# total magnetization	0.00	μB/f.u.
data_Nb4H2O
_cell_length_a 4.189
_cell_length_b 4.189
_cell_length_c 9.765
_cell_angle_alpha 90.00
_cell_angle_beta 90.00
_cell_angle_gamma 90.00
_symmetry_space_group_name_H-M 'I 4/m m m'
_symmetry_Int_Tables_number 139
_symmetry_space_group_name_Hall '-I 4 2'
loop_
_atom_site_label
_atom_site_type_symbol
_atom_site_fract_x
_atom_site_fract_y
_atom_site_fract_z
Nb1 Nb 0.000 0.000 0.242
Nb2 Nb 0.000 0.500 0.000
H1 H 0.000 0.000 0.429
O1 O 0.000 0.000 0.000

***

Record 2
# DyYCd14 GGA-PBE optimized geometry
# total magnetization	0.00	μB/f.u.
# ΔE_f	-0.1408	eV per atom
data_DyYCd14
_cell_length_a 6.596
_cell_length_b 6.596
_cell_length_c 8.504
_cell_angle_alpha 90.00
_cell_angle_beta 90.00
_cell_angle_gamma 90.00
_symmetry_space_group_name_H-M 'P 4/m m m'
_symmetry_Int_Tables_number 123
_symmetry_space_group_name_Hall '-P 4 2'
loop_
_atom_site_label
_atom_site_type_symbol
_atom_site_fract_x
_atom_site_fract_y
_atom_site_fract_z
Dy1 Dy 0.000 0.000 0.000
Y1 Y 0.500 0.500 0.000
Cd1 Cd 0.000 0.000 0.500
Cd2 Cd 0.000 0.500 0.000
Cd3 Cd 0.000 0.500 0.500
Cd4 Cd 0.250 0.250 0.258
Cd5 Cd 0.500 0.500 0.500

***

Record 3
# Ac2PrMg GGA-PBE optimized geometry
# total magnetization	0.00	μB/f.u.
# ΔE_f	0.0560	eV per atom
# distance to the lowest polymorph of the same formula	0.084	eV per atom
data_Ac2PrMg
_cell_length_a 8.449
_cell_length_b 8.449
_cell_length_c 8.449
_cell_angle_alpha 90.00
_cell_angle_beta 90.00
_cell_angle_gamma 90.00
_symmetry_space_group_name_H-M 'F m -3 m'
_symmetry_Int_Tables_number 225
_symmetry_space_group_name_Hall '-F 4 2 3'
loop_
_atom_site_label
_atom_site_type_symbol
_atom_site_fract_x
_atom_site_fract_y
_atom_site_fract_z
Ac1 Ac 0.250 0.250 0.250
Pr1 Pr 0.000 0.000 0.000
Mg1 Mg 0.000 0.000 0.500

***

Record 4
# La2SiB GGA-PBE optimized geometry
# total magnetization	0.00	μB/f.u.
# formation energy (no corrections)	0.73	eV/f.u.
# distance to the lowest polymorph of the same formula	0.132	eV per atom
data_La2SiB
_cell_length_a 7.556
_cell_length_b 7.556
_cell_length_c 7.290
_cell_angle_alpha 90.00
_cell_angle_beta 90.00
_cell_angle_gamma 90.00
_symmetry_space_group_name_H-M 'I -4 2 d'
_symmetry_Int_Tables_number 122
_symmetry_space_group_name_Hall 'I -4 2bw'
loop_
_atom_site_label
_atom_site_type_symbol
_atom_site_fract_x
_atom_site_fract_y
_atom_site_fract_z
La1 La 0.206 0.250 0.125
Si1 Si 0.000 0.000 0.500
B1 B 0.000 0.000 0.000

***

Record 5
# Na8Tl2Sn GGA-PBE optimized geometry
# total magnetization	0.00	μB/f.u.
# ΔE_f	-0.0905	eV per atom
# distance to the lowest polymorph of the same formula	0.009	eV per atom
data_Na8Tl2Sn
_cell_length_a 9.943
_cell_length_b 12.896
_cell_length_c 5.336
_cell_angle_alpha 90.00
_cell_angle_beta 90.00
_cell_angle_gamma 90.00
_symmetry_space_group_name_H-M 'C m m m'
_symmetry_Int_Tables_number 65
_symmetry_space_group_name_Hall '-C 2 2'
loop_
_atom_site_label
_atom_site_type_symbol
_atom_site_fract_x
_atom_site_fract_y
_atom_site_fract_z
Na1 Na 0.000 0.246 0.000
Na2 Na 0.163 0.128 0.500
Na3 Na 0.173 0.500 0.000
Tl1 Tl 0.000 0.383 0.500
Sn1 Sn 0.000 0.000 0.000

***

Record 6
# SiAsWSe2 GGA-PBE optimized geometry
# total magnetization	0.27	μB/f.u.
# formation energy (no corrections)	3.73	eV/f.u.
# distance to the lowest polymorph of the same formula	0.000	eV per atom
data_SiAsWSe2
_cell_length_a 4.862
_cell_length_b 4.862
_cell_length_c 5.060
_cell_angle_alpha 90.00
_cell_angle_beta 90.00
_cell_angle_gamma 90.00
_symmetry_space_group_name_H-M 'P 4/m m m'
_symmetry_Int_Tables_number 123
_symmetry_space_group_name_Hall '-P 4 2'
loop_
_atom_site_label
_atom_site_type_symbol
_atom_site_fract_x
_atom_site_fract_y
_atom_site_fract_z
Si1 Si 0.000 0.000 0.000
As1 As 0.500 0.500 0.000
W1 W 0.500 0.500 0.500
Se1 Se 0.000 0.500 0.500

***

Record 7
# Cu2SnBi GGA-PBE optimized geometry
# total magnetization	0.00	μB/f.u.
# ΔE_f	0.2443	eV per atom
data_Cu2SnBi
_cell_length_a 4.613
_cell_length_b 4.613
_cell_length_c 17.108
_cell_angle_alpha 90.00
_cell_angle_beta 90.00
_cell_angle_gamma 90.00
_symmetry_space_group_name_H-M 'I -4 2 d'
_symmetry_Int_Tables_number 122
_symmetry_space_group_name_Hall 'I -4 2bw'
loop_
_atom_site_label
_atom_site_type_symbol
_atom_site_fract_x
_atom_site_fract_y
_atom_site_fract_z
Cu1 Cu 0.176 0.250 0.125
Sn1 Sn 0.000 0.000 0.000
Bi1 Bi 0.000 0.000 0.500

***

Record 8
# Pu2ZnSi GGA-PBE optimized geometry
# total magnetization	10.78	μB/f.u.
# formation energy (no corrections)	-0.83	eV/f.u.
data_Pu2ZnSi
_cell_length_a 3.814
_cell_length_b 3.814
_cell_length_c 5.730
_cell_angle_alpha 90.00
_cell_angle_beta 90.00
_cell_angle_gamma 90.00
_symmetry_space_group_name_H-M 'P 4/m m m'
_symmetry_Int_Tables_number 123
_symmetry_space_group_name_Hall '-P 4 2'
loop_
_atom_site_label
_atom_site_type_symbol
_atom_site_fract_x
_atom_site_fract_y
_atom_site_fract_z
Pu1 Pu 0.000 0.000 0.239
Zn1 Zn 0.500 0.500 0.500
Si1 Si 0.500 0.500 0.000

***

Record 9
# NdEr5Rh4 GGA-PBE optimized geometry
# total magnetization	0.00	μB/f.u.
# ΔE_f	-0.7526	eV per atom
data_NdEr5Rh4
_cell_length_a 3.411
_cell_length_b 3.411
_cell_length_c 19.136
_cell_angle_alpha 90.00
_cell_angle_beta 90.00
_cell_angle_gamma 90.00
_symmetry_space_group_name_H-M 'P 4/m m m'
_symmetry_Int_Tables_number 123
_symmetry_space_group_name_Hall '-P 4 2'
loop_
_atom_site_label
_atom_site_type_symbol
_atom_site_fract_x
_atom_site_fract_y
_atom_site_fract_z
Nd1 Nd 0.000 0.000 0.000
Er1 Er 0.500 0.500 0.148
Er2 Er 0.500 0.500 0.322
Er3 Er 0.500 0.500 0.500
Rh1 Rh 0.000 0.000 0.232
Rh2 Rh 0.000 0.000 0.411

***

Record 10
# Li2BPt3 GGA-PBE optimized geometry
# total magnetization	0.00	μB/f.u.
# ΔE_f	-0.4836	eV per atom
# distance to the lowest polymorph of the same formula	0.097	eV per atom
data_Li2BPt3
_cell_length_a 5.3843
_cell_length_b 5.3843
_cell_length_c 9.7591
_cell_angle_alpha 90.00
_cell_angle_beta 90.00
_cell_angle_gamma 120.00
_symmetry_space_group_name_H-M 'R -3 m'
_symmetry_Int_Tables_number 166
_symmetry_space_group_name_Hall '-R 3 2"'
loop_
_atom_site_label
_atom_site_type_symbol
_atom_site_fract_x
_atom_site_fract_y
_atom_site_fract_z
Li1 Li 0.0000 0.0000 0.1186
B1 B 0.0000 0.0000 0.5000
Pt1 Pt 0.0000 0.5000 0.0000

***

Record 11
# BeZnCo4 GGA-PBE optimized geometry
# total magnetization	5.90	μB/f.u.
# ΔE_f	0.2271	eV per atom
data_BeZnCo4
_cell_length_a 6.571
_cell_length_b 6.571
_cell_length_c 6.571
_cell_angle_alpha 90.00
_cell_angle_beta 90.00
_cell_angle_gamma 90.00
_symmetry_space_group_name_H-M 'F -4 3 m'
_symmetry_Int_Tables_number 216
_symmetry_space_group_name_Hall 'F -4 2 3'
loop_
_atom_site_label
_atom_site_type_symbol
_atom_site_fract_x
_atom_site_fract_y
_atom_site_fract_z
Be1 Be 0.000 0.000 0.000
Zn1 Zn 0.250 0.250 0.250
Co1 Co 0.125 0.125 0.625

***

Record 12
# Ta2Ti5Fe2Ru GGA-PBE optimized geometry
# total magnetization	0.00	μB/f.u.
# ΔE_f	-0.1942	eV per atom
data_Ta2Ti5Fe2Ru
_cell_length_a 10.130
_cell_length_b 10.130
_cell_length_c 3.037
_cell_angle_alpha 90.00
_cell_angle_beta 90.00
_cell_angle_gamma 90.00
_symmetry_space_group_name_H-M 'P 4/m b m'
_symmetry_Int_Tables_number 127
_symmetry_space_group_name_Hall '-P 4 2ab'
loop_
_atom_site_label
_atom_site_type_symbol
_atom_site_fract_x
_atom_site_fract_y
_atom_site_fract_z
Ta1 Ta 0.180 0.320 0.000
Ti1 Ti 0.000 0.500 0.500
Ti2 Ti 0.055 0.797 0.500
Fe1 Fe 0.131 0.631 0.000
Ru1 Ru 0.000 0.000 0.000